Density functional theory data (PBE) for a relaxed structure of LaPaCu.

Cell and atoms, written as POSCAR:
```
LaPaCu
1.0
-2.804 0.809 -3.628
-3.814 -7.386 1.302
-2.375 8.536 3.737
Pa Cu La
4 4 4
Direct
0.000 0.284 0.358 Pa
0.500 0.784 0.858 Pa
0.000 0.716 0.642 Pa
0.500 0.216 0.142 Pa
0.000 0.887 0.056 Cu
0.500 0.387 0.556 Cu
0.000 0.113 0.944 Cu
0.500 0.613 0.444 Cu
0.500 0.913 0.294 La
0.000 0.413 0.794 La
0.500 0.087 0.706 La
0.000 0.587 0.206 La
```

Calculated values
energy relative to the elements = 0.083 eV/atom
SG = R-3m
DOS(E_F) = 16.5 states/eV per cell

Density functional theory data (PBE) for a relaxed structure of LaPaCu2.

Cell and atoms, written as POSCAR:
```
LaPaCu2
1.0
-0.979 2.867 -1.484
0.798 -1.288 -3.014
-7.111 -2.786 -0.692
Pa Cu La
1 2 1
Direct
0.500 0.500 0.000 Pa
0.000 0.000 0.771 Cu
0.000 0.000 0.229 Cu
0.500 0.500 0.500 La
```

Calculated values
ΔE to the lowest computed polymorph = 0 meV/atom
energy relative to the elements = 0.068 eV/atom
SG = P4/mmm
DOS(E_F) = 5.7 states/eV per cell

Density functional theory data (PBE) for a relaxed structure of LaPaCu2.

Cell and atoms, written as POSCAR:
```
LaPaCu2
1.0
3.467 0.000 0.000
1.734 3.003 0.000
1.734 1.001 8.790
Pa Cu La
1 2 1
Direct
0.000 0.000 0.000 Pa
0.746 0.746 0.763 Cu
0.254 0.254 0.237 Cu
0.500 0.500 0.500 La
```

Calculated values
ΔE to the lowest computed polymorph = 187 meV/atom
energy relative to the elements = 0.254 eV/atom
SG = R-3m
DOS(E_F) = 5.5 states/eV per cell

Density functional theory data (PBE) for a relaxed structure of LaPaCu4.

Cell and atoms, written as POSCAR:
```
LaPaCu4
1.0
-4.668 -1.682 1.831
-1.673 -4.891 -1.119
-0.182 -3.669 3.806
Pa Cu La
1 4 1
Direct
0.250 0.250 0.250 Pa
0.624 0.624 0.127 Cu
0.624 0.127 0.624 Cu
0.624 0.624 0.624 Cu
0.127 0.624 0.624 Cu
0.000 0.000 0.000 La
```

Calculated values
energy relative to the elements = 0.047 eV/atom
SG = F-43m
DOS(E_F) = 9.5 states/eV per cell

Density functional theory data (PBE) for a relaxed structure of LaPaCuS4.

Cell and atoms, written as POSCAR:
```
LaPaCuS4
1.0
6.351 0.000 0.060
0.000 6.336 0.000
-2.403 0.000 7.448
La Pa Cu S
2 2 2 8
Direct
0.763 0.750 0.943 La
0.237 0.250 0.057 La
0.775 0.750 0.445 Pa
0.225 0.250 0.555 Pa
0.239 0.750 0.319 Cu
0.761 0.250 0.681 Cu
0.020 0.512 0.740 S
0.980 0.012 0.260 S
0.980 0.488 0.260 S
0.020 0.988 0.740 S
0.442 0.750 0.127 S
0.558 0.250 0.873 S
0.451 0.750 0.604 S
0.549 0.250 0.396 S
```

Calculated values
SG = P2_1/m
DOS(E_F) = 6.9 states/eV per cell
formation energy from raw total energies = -1.495 eV per atom

Density functional theory data (PBE) for a relaxed structure of La2PaCuS5.

Cell and atoms, written as POSCAR:
```
La2PaCuS5
1.0
3.911 0.000 0.000
-1.955 8.343 0.000
0.000 0.000 12.240
La Pa Cu S
4 2 2 10
Direct
0.883 0.765 0.843 La
0.117 0.234 0.696 La
0.117 0.235 0.343 La
0.883 0.766 0.196 La
0.818 0.635 0.526 Pa
0.182 0.365 0.026 Pa
0.552 0.105 0.921 Cu
0.448 0.895 0.421 Cu
0.345 0.691 0.020 S
0.687 0.374 0.865 S
0.495 0.989 0.754 S
0.304 0.607 0.684 S
0.978 0.955 0.514 S
0.655 0.309 0.520 S
0.313 0.626 0.365 S
0.505 0.011 0.254 S
0.696 0.393 0.184 S
0.022 0.045 0.014 S
```

Calculated values
SG = Cmc2_1
DOS(E_F) = 9.2 states/eV per cell
formation energy from raw total energies = -1.709 eV per atom

Density functional theory data (PBE) for a relaxed structure of LaPa2CuS8.

Cell and atoms, written as POSCAR:
```
LaPa2CuS8
1.0
5.943 0.000 0.000
-2.972 5.147 0.000
0.000 0.000 7.886
La Pa Cu S
1 2 1 8
Direct
0.000 0.000 0.500 La
0.667 0.333 0.123 Pa
0.333 0.667 0.877 Pa
0.000 0.000 0.000 Cu
0.826 0.653 0.819 S
0.347 0.174 0.819 S
0.826 0.174 0.819 S
0.174 0.347 0.181 S
0.653 0.826 0.181 S
0.174 0.826 0.181 S
0.667 0.333 0.440 S
0.333 0.667 0.560 S
```

Calculated values
SG = P-3m1
DOS(E_F) = 6.6 states/eV per cell
formation energy from raw total energies = -1.121 eV per atom

Density functional theory data (PBE) for a relaxed structure of LaPaCuTc.

Cell and atoms, written as POSCAR:
```
LaPaCuTc
1.0
4.965 0.000 0.000
2.483 4.300 0.000
2.483 1.433 4.054
Pa Tc Cu La
1 1 1 1
Direct
0.750 0.750 0.750 Pa
0.000 0.000 0.000 Tc
0.500 0.500 0.500 Cu
0.250 0.250 0.250 La
```

Calculated values
energy relative to the elements = 0.092 eV/atom
SG = F-43m
DOS(E_F) = 6.0 states/eV per cell

Density functional theory data (PBE) for a relaxed structure of LaCuPb.

Cell and atoms, written as POSCAR:
```
LaCuPb
1.0
4.749 -0.003 -0.005
2.381 9.319 -0.016
2.377 1.821 3.685
Pb Cu La
2 2 2
Direct
0.556 0.920 0.047 Pb
0.556 0.425 0.541 Pb
0.890 0.019 0.281 Cu
0.890 0.326 0.973 Cu
0.223 0.172 0.461 La
0.889 0.672 0.628 La
```

Calculated values
energy relative to the elements = -0.357 eV/atom
SG = P-6m2
DOS(E_F) = 1.1 states/eV per cell

Density functional theory data (PBE) for a relaxed structure of LaCuPb.

Cell and atoms, written as POSCAR:
```
LaCuPb
1.0
-1.626 1.377 4.288
-4.171 -2.179 -0.882
2.556 -6.074 2.919
Pb Cu La
2 2 2
Direct
0.000 0.500 0.123 Pb
0.500 0.000 0.877 Pb
0.000 0.500 0.758 Cu
0.500 0.000 0.242 Cu
0.000 0.000 0.500 La
0.500 0.500 0.500 La
```

Calculated values
energy relative to the elements = 0.016 eV/atom
SG = P4/nmm
DOS(E_F) = 5.1 states/eV per cell

Density functional theory data (PBE) for a relaxed structure of LaCuPb2.

Cell and atoms, written as POSCAR:
```
LaCuPb2
1.0
6.367 -0.047 -0.138
5.234 3.625 -0.138
2.165 0.668 4.602
Cu La Pb
1 1 2
Direct
0.250 0.250 0.250 Cu
0.750 0.750 0.750 La
0.960 0.960 0.040 Pb
0.540 0.540 0.460 Pb
```

Calculated values
ΔE to the lowest computed polymorph = 99 meV/atom
energy relative to the elements = -0.127 eV/atom
SG = C2/m
DOS(E_F) = 3.0 states/eV per cell

Density functional theory data (PBE) for a relaxed structure of LaCuPb2.

Cell and atoms, written as POSCAR:
```
LaCuPb2
1.0
-1.500 3.786 -1.879
-3.529 0.400 3.623
2.243 2.707 3.664
Cu La Pb
1 1 2
Direct
0.500 0.250 0.250 Cu
0.500 0.750 0.750 La
0.000 0.055 0.055 Pb
0.000 0.445 0.445 Pb
```

Calculated values
ΔE to the lowest computed polymorph = 8 meV/atom
energy relative to the elements = -0.217 eV/atom
SG = Cmmm
DOS(E_F) = 0.6 states/eV per cell

Among the records above, which one has the lowest DOS(E_F)?
number 12